Entry 1:
SrPr2TiN4: relaxed, GGA-PBE.

a = 6.476 Å, b = 6.476 Å, c = 12.403 Å
α = 90.00°, β = 90.00°, γ = 147.59°
Positions (direct):
Sr 0.105 0.895 0.750
Sr 0.895 0.105 0.250
Pr 0.370 0.630 0.539
Pr 0.370 0.630 0.961
Pr 0.630 0.370 0.039
Pr 0.630 0.370 0.461
Ti 0.171 0.829 0.250
Ti 0.829 0.171 0.750
N 0.000 0.000 0.000
N 0.000 0.000 0.500
N 0.260 0.740 0.128
N 0.260 0.740 0.372
N 0.407 0.593 0.750
N 0.593 0.407 0.250
N 0.740 0.260 0.628
N 0.740 0.260 0.872

Computed properties:
E_tot: -7.80 eV per atom
E_form (uncorrected): -1.241 eV/atom

***

Entry 2:
NdHo7Tm3: relaxed, GGA-PBE.

a = 7.014 Å, b = 7.014 Å, c = 8.530 Å
α = 90.00°, β = 90.00°, γ = 120.00°
Positions (direct):
Nd 0.000 0.000 0.000
Ho 0.003 0.501 0.996
Ho 0.331 0.165 0.331
Ho 0.333 0.667 0.327
Ho 0.499 0.501 0.996
Ho 0.499 0.997 0.996
Ho 0.835 0.165 0.331
Ho 0.835 0.669 0.331
Tm 0.167 0.335 0.661
Tm 0.167 0.833 0.661
Tm 0.665 0.833 0.661

Computed properties:
E above lowest polymorph: 0.57 eV per formula unit
E_tot: -4.37 eV per atom
formation enthalpy at 0 K: 0.20 eV/atom

***

Entry 3:
ErSc2Ru: relaxed, GGA-PBE.

a = 3.265 Å, b = 3.265 Å, c = 8.313 Å
α = 90.00°, β = 90.00°, γ = 90.00°
Positions (direct):
Er 0.000 0.000 0.000
Sc 0.500 0.500 0.316
Sc 0.500 0.500 0.684
Ru 0.000 0.000 0.500

Computed properties:
E above lowest polymorph: 0.17 eV per formula unit
E_tot: -6.94 eV per atom
formation enthalpy at 0 K: -0.31 eV/atom

***

Entry 4:
ScTl2AsRu: relaxed, GGA-PBE.

a = 5.564 Å, b = 5.564 Å, c = 4.568 Å
α = 90.00°, β = 90.00°, γ = 90.00°
Positions (direct):
Sc 0.000 0.000 0.000
Tl 0.000 0.500 0.000
Tl 0.500 0.000 0.000
As 0.500 0.500 0.500
Ru 0.000 0.000 0.500

Computed properties:
E above lowest polymorph: 0.00 eV per formula unit
E_tot: -4.08 eV per atom
formation enthalpy at 0 K: 0.92 eV/atom

***

Entry 5:
Na2AgH6Pd: relaxed, GGA-PBE.

a = 5.224 Å, b = 5.224 Å, c = 5.236 Å
α = 119.98°, β = 119.98°, γ = 89.80°
Positions (direct):
Na 0.250 0.750 0.000
Na 0.750 0.250 0.000
Ag 0.000 0.000 0.500
H 0.265 0.265 0.498
H 0.266 0.734 0.500
H 0.267 0.267 0.032
H 0.733 0.733 0.968
H 0.734 0.266 0.500
H 0.735 0.735 0.502
Pd 0.500 0.500 0.500

Computed properties:
E_tot: -3.23 eV per atom

***

Entry 6:
PmEuIn4: relaxed, GGA-PBE.

a = 6.118 Å, b = 6.118 Å, c = 6.118 Å
α = 60.00°, β = 60.00°, γ = 60.00°
Positions (direct):
Pm 0.000 0.000 0.000
Eu 0.750 0.750 0.750
In 0.375 0.375 0.375
In 0.375 0.375 0.875
In 0.375 0.875 0.375
In 0.875 0.375 0.375

Computed properties:
E_tot: -4.73 eV per atom
formation enthalpy at 0 K: -0.40 eV/atom

***

Entry 7:
KMnCu2: relaxed, GGA-PBE.

a = 3.159 Å, b = 3.221 Å, c = 7.654 Å
α = 90.00°, β = 90.00°, γ = 90.00°
Positions (direct):
K 0.000 0.000 0.000
Mn 0.000 0.000 0.500
Cu 0.500 0.500 0.337
Cu 0.500 0.500 0.663

Computed properties:
E above lowest polymorph: 0.00 eV per formula unit
E_tot: -4.20 eV per atom
formation enthalpy at 0 K: 0.42 eV/atom

***

Entry 8:
KTlAsO4: relaxed, GGA-PBE.

a = 6.010 Å, b = 6.010 Å, c = 6.010 Å
α = 119.52°, β = 119.52°, γ = 90.83°
Positions (direct):
K 0.000 0.000 0.000
Tl 0.500 0.500 0.000
As 0.750 0.250 0.500
O 0.052 0.508 0.838
O 0.492 0.329 0.544
O 0.671 0.214 0.162
O 0.786 0.948 0.456

Computed properties:
E_tot: -5.23 eV per atom
E_form (uncorrected): -1.240 eV/atom

***

- The lowest E_tot belongs to which entry?
  SrPr2TiN4

***

- Which formula does entry 6 have?
  PmEuIn4

***

- E_tot of number 1 (SrPr2TiN4)?
  -7.80 eV per atom